The following is a DFT calculation (PBE) of crystalline CdTe5 at its relaxed geometry.

The value obtained for the total magnetization is 0.0 μB per formula unit. The calculation puts the energy above the most stable polymorph in this dataset at 0.0 meV/atom.

It has space group Cm (No. 8), with a = 8.402 Å, b = 4.325 Å, c = 11.460 Å, α = 90.00°, β = 99.49° and γ = 90.00°. The asymmetric unit holds Cd at (0.000, 0.000, 0.000), Te at (0.002, 0.000, 0.500), Te at (0.107, 0.500, 0.337), Te at (0.140, 0.500, 0.866), Te at (0.362, 0.000, 0.135) and Te at (0.397, 0.000, 0.663).